The following is a PBE calculation of RbNbGe2F after structural relaxation, from Alexandria.

VASP energy	-24.55	eV/f.u.
space group	P4/mmm (123)
crystal system	tetragonal

Lattice parameters (Å, degrees): 5.140 4.531 5.140 90.00 90.00 90.00
Sites, in units of the cell vectors:
1 Ge 0.000 0.000 0.500
2 Ge 0.500 0.000 0.000
3 Nb 0.000 0.000 0.000
4 Rb 0.500 0.500 0.500
5 F 0.000 0.500 0.000

---

The following is a PBE calculation of NbReGe2F after structural relaxation, from Alexandria.

VASP energy	-30.78	eV/f.u.
space group	P4/mmm (123)
crystal system	tetragonal

Lattice parameters (Å, degrees): 5.061 3.951 5.061 90.00 90.00 90.00
Last column: magnetic moment on the atom in μB.
Sites, in units of the cell vectors:
1 Ge 0.000 0.000 0.500  -0.07
2 Re 0.500 0.500 0.500  3.07
3 Nb 0.000 0.000 0.000  0.26
4 Ge 0.500 0.000 0.000  -0.03
5 F 0.000 0.500 0.000  0.00

---

The following is a PBE calculation of ScNbGe2F after structural relaxation, from Alexandria.

VASP energy	-27.35	eV/f.u.
space group	P4/mmm (123)
crystal system	tetragonal

Lattice parameters (Å, degrees): 4.934 5.208 4.934 90.00 90.00 90.00
Sites, in units of the cell vectors:
1 Ge 0.500 0.000 0.000
2 Sc 0.000 0.500 0.000
3 Ge 0.000 0.000 0.500
4 Nb 0.000 0.000 0.000
5 F 0.500 0.500 0.500

---

The following is a PBE calculation of NbSiGeF2 after structural relaxation, from Alexandria.

VASP energy	-27.01	eV/f.u.
space group	P4/mmm (123)
crystal system	tetragonal

Lattice parameters (Å, degrees): 3.821 5.795 3.821 90.00 90.00 90.00
Last column: magnetic moment on the atom in μB.
Sites, in units of the cell vectors:
1 Nb 0.500 0.500 0.500  1.55
2 F 0.000 0.000 0.500  0.03
3 Ge 0.000 0.500 0.000  -0.06
4 Si 0.000 0.000 0.000  0.06
5 F 0.500 0.000 0.000  0.04

---

The following is a PBE calculation of TiNbGe2F after structural relaxation, from Alexandria.

space group	P4/mmm (123)
energy relative to the lowest polymorph listed for this composition	355.6	meV/atom
crystal system	tetragonal

Lattice parameters (Å, degrees): 4.984 4.780 4.984 90.00 90.00 90.00
Sites, in units of the cell vectors:
1 Ge 0.000 0.000 0.500
2 F 0.500 0.500 0.500
3 Nb 0.000 0.000 0.000
4 Ge 0.500 0.000 0.000
5 Ti 0.000 0.500 0.000

---

The following is a PBE calculation of TiNbGe2F after structural relaxation, from Alexandria.

space group	P4/mmm (123)
energy relative to the lowest polymorph listed for this composition	0.0	meV/atom
crystal system	tetragonal

Lattice parameters (Å, degrees): 4.582 4.043 4.582 90.00 90.00 90.00
Sites, in units of the cell vectors:
1 F 0.000 0.000 0.000
2 Ge 0.000 0.000 0.500
3 Ti 0.500 0.500 0.500
4 Ge 0.500 0.000 0.000
5 Nb 0.000 0.500 0.000